(1)
Density functional theory data (GGA-PBE) for an optimized crystal structure of InC2O.

Computed properties:
- size of the total moment (Bohr magnetons per cell) = 0.0
- space-group type = Fm-3m, No. 225
- calculated density (g/cm³) = 5.754
- final energy (eV per atom) = -3.976
- crystal system = cubic
- formation energy (no corrections) (meV/atom) = 2560

Unit cell a=3.983 b=3.983 c=3.983 alpha=60.00 beta=60.00 gamma=60.00
Fractional positions:
In (0.000, 0.000, 0.000)
C (0.250, 0.250, 0.250)
C (0.750, 0.750, 0.750)
O (0.500, 0.500, 0.500)


(2)
Density functional theory data (GGA-PBE) for an optimized crystal structure of TaRe2As.

Computed properties:
- size of the total moment (Bohr magnetons per cell) = 0.0
- space-group type = Pmmm, No. 47
- calculated density (g/cm³) = 16.404
- final energy (eV per atom) = -10.132
- calculated formation energy (eV/atom) = 0.218
- crystal system = orthorhombic

Unit cell a=3.115 b=4.313 c=4.734 alpha=90.00 beta=90.00 gamma=90.00
Fractional positions:
Ta (0.000, 0.000, 0.000)
Re (0.000, 0.500, 0.500)
Re (0.500, 0.000, 0.500)
As (0.500, 0.500, 0.000)


(3)
Density functional theory data (GGA-PBE) for an optimized crystal structure of Li3MnHg.

Computed properties:
- size of the total moment (Bohr magnetons per cell) = 4.2
- space-group type = Pm-3m, No. 221
- calculated density (g/cm³) = 3.981
- final energy (eV per atom) = -2.436
- calculated formation energy (eV/atom) = 0.606
- crystal system = cubic

Unit cell a=4.867 b=4.867 c=4.867 alpha=90.00 beta=90.00 gamma=90.00
Fractional positions:
Li (0.000, 0.000, 0.500)
Li (0.000, 0.500, 0.000)
Li (0.500, 0.000, 0.000)
Mn (0.000, 0.000, 0.000)
Hg (0.500, 0.500, 0.500)


(4)
Density functional theory data (GGA-PBE) for an optimized crystal structure of RbCd2P2.

Computed properties:
- size of the total moment (Bohr magnetons per cell) = 0.0
- space-group type = I4/mmm, No. 139
- calculated density (g/cm³) = 4.665
- final energy (eV per atom) = -2.860
- calculated formation energy (eV/atom) = -0.136
- crystal system = tetragonal

Unit cell a=7.451 b=7.451 c=7.451 alpha=145.44 beta=145.44 gamma=49.68
Fractional positions:
Rb (0.000, 0.000, 0.000)
Cd (0.250, 0.750, 0.500)
Cd (0.750, 0.250, 0.500)
P (0.364, 0.364, 0.000)
P (0.636, 0.636, 0.000)


(5)
Density functional theory data (GGA-PBE) for an optimized crystal structure of NaAc4Ag5.

Computed properties:
- size of the total moment (Bohr magnetons per cell) = 0.0
- space-group type = P4/mmm, No. 123
- calculated density (g/cm³) = 8.279
- final energy (eV per atom) = -3.389
- calculated formation energy (eV/atom) = -0.188
- crystal system = tetragonal

Unit cell a=3.917 b=3.917 c=19.226 alpha=90.00 beta=90.00 gamma=90.00
Fractional positions:
Na (0.000, 0.000, 0.000)
Ac (0.000, 0.000, 0.186)
Ac (0.000, 0.000, 0.396)
Ac (0.000, 0.000, 0.604)
Ac (0.000, 0.000, 0.814)
Ag (0.500, 0.500, 0.081)
Ag (0.500, 0.500, 0.291)
Ag (0.500, 0.500, 0.500)
Ag (0.500, 0.500, 0.709)
Ag (0.500, 0.500, 0.919)


(6)
Density functional theory data (GGA-PBE) for an optimized crystal structure of Cs2HO2.

Computed properties:
- size of the total moment (Bohr magnetons per cell) = 2.0
- space-group type = P2_1/m, No. 11
- calculated density (g/cm³) = 4.720
- final energy (eV per atom) = -3.430
- crystal system = monoclinic

Unit cell a=6.066 b=3.180 c=10.898 alpha=90.00 beta=90.01 gamma=90.00
Fractional positions:
Cs (0.250, 0.250, 0.113)
Cs (0.250, 0.250, 0.641)
Cs (0.750, 0.750, 0.359)
Cs (0.750, 0.750, 0.887)
H (0.251, 0.250, 0.376)
H (0.749, 0.750, 0.624)
O (0.250, 0.750, 0.370)
O (0.250, 0.750, 0.879)
O (0.750, 0.250, 0.121)
O (0.750, 0.250, 0.630)


(7)
Density functional theory data (GGA-PBE) for an optimized crystal structure of TlWIN2.

Computed properties:
- size of the total moment (Bohr magnetons per cell) = 4.5
- space-group type = P4/mmm, No. 123
- calculated density (g/cm³) = 7.282
- final energy (eV per atom) = -4.017
- crystal system = tetragonal
- formation energy (no corrections) (meV/atom) = 2687

Unit cell a=4.248 b=4.248 c=6.864 alpha=90.00 beta=90.00 gamma=90.00
Fractional positions:
Tl (0.000, 0.000, 0.000)
W (0.500, 0.500, 0.500)
I (0.000, 0.000, 0.500)
N (0.000, 0.500, 0.000)
N (0.500, 0.000, 0.000)


(8)
Density functional theory data (GGA-PBE) for an optimized crystal structure of Ta2CrS4.

Computed properties:
- size of the total moment (Bohr magnetons per cell) = 1.1
- space-group type = I4/mmm, No. 139
- calculated density (g/cm³) = 7.174
- final energy (eV per atom) = -7.038
- crystal system = tetragonal
- formation energy (no corrections) (meV/atom) = 82

Unit cell a=6.949 b=6.949 c=6.949 alpha=142.14 beta=142.14 gamma=54.62
Fractional positions:
Ta (0.114, 0.114, 0.000)
Ta (0.886, 0.886, 0.000)
Cr (0.500, 0.500, 0.000)
S (0.000, 0.500, 0.500)
S (0.306, 0.306, 0.000)
S (0.500, 0.000, 0.500)
S (0.694, 0.694, 0.000)


Number 1: volume 45 Å³/cell. Number 2: volume 64 Å³/cell. Number 3: volume 115 Å³/cell. Number 4: volume 132 Å³/cell. Number 5: volume 295 Å³/cell. Number 6: volume 210 Å³/cell. Number 7: volume 124 Å³/cell. Number 8: volume 125 Å³/cell.